{
  "formula": "K2VFe3F12",
  "functional": "GGA+U",
  "state": "optimized geometry",
  "final_energy_ev_per_atom": -5.3568,
  "m_tot_mub_per_fu": 15.00,
  "sg": "R-3m (166)",
  "cell": [[7.5220, 0.1101, 0.0781], [3.8105, 6.4863, 0.0781], [3.8105, 2.2180, 6.0958]],
  "species": ["F", "Fe", "F", "K", "V", "Fe", "Fe", "F", "F", "F", "F", "F", "K", "F", "F", "F", "F", "F"],
  "fractional_positions": [[0.0690, 0.0690, 0.6847], [0.0000, 0.5000, 0.0000], [0.9310, 0.3153, 0.9310], [0.3919, 0.3919, 0.3919], [0.0000, 0.0000, 0.0000], [0.0000, 0.0000, 0.5000], [0.5000, 0.0000, 0.0000], [0.6847, 0.0690, 0.0690], [0.0795, 0.6709, 0.6709], [0.3153, 0.9310, 0.9310], [0.9205, 0.3291, 0.3291], [0.6709, 0.0795, 0.6709], [0.6081, 0.6081, 0.6081], [0.0690, 0.6847, 0.0690], [0.6709, 0.6709, 0.0795], [0.3291, 0.9205, 0.3291], [0.9310, 0.9310, 0.3153], [0.3291, 0.3291, 0.9205]]
}